Li3Pr3NpSe8, optimized geometry, DFT PBE; DFT total energy = -0.4104 Ry per atom; mass density = 5.38 Mg/m³; total moment = 0.2000 μB per atom; space group = R-3m (166)
1.0
4.2450 2.4509 6.4872
-4.2450 2.4509 6.4872
0.0000 -4.9017 6.4872
Li Pr Np Se
3 3 1 8
Direct
0.0000 0.5000 0.5000
0.5000 0.0000 0.5000
0.5000 0.5000 0.0000
0.0000 0.0000 0.5000
0.0000 0.5000 0.0000
0.5000 0.0000 0.0000
0.5000 0.5000 0.5000
0.2536 0.2536 0.2536
0.2579 0.2579 0.7339
0.2579 0.7339 0.2579
0.2661 0.7421 0.7421
0.7339 0.2579 0.2579
0.7421 0.2661 0.7421
0.7421 0.7421 0.2661
0.7464 0.7464 0.7464

=====

LiIn5Hg6, optimized geometry, DFT PBE; DFT total energy = -0.1100 Ry per atom; mass density = 9.74 Mg/m³; total moment = 0.0000 μB per atom; formation enthalpy at 0 K = -0.045 eV/atom; space group = C2/m (12)
1.0
4.4229 -8.1947 0.0000
4.4229 8.1947 0.0000
-3.0131 0.0000 4.1974
Li In Hg
1 5 6
Direct
0.0000 0.0000 0.0000
0.1760 0.8240 0.5000
0.3319 0.6681 0.0000
0.5000 0.5000 0.5000
0.6681 0.3319 0.0000
0.8240 0.1760 0.5000
0.0858 0.3989 0.2423
0.2301 0.2301 0.7315
0.3989 0.0858 0.2423
0.6011 0.9142 0.7577
0.7699 0.7699 0.2685
0.9142 0.6011 0.7577

=====

SrTi2Pb, optimized geometry, DFT PBE; DFT total energy = -0.3558 Ry per atom; mass density = 5.40 Mg/m³; total moment = 0.0000 μB per atom; formation enthalpy at 0 K = 0.454 eV/atom; space group = I4_1/amd (141)
1.0
-2.4006 2.4006 10.4186
2.4006 -2.4006 10.4186
2.4006 2.4006 -10.4186
Sr Ti Pb
2 4 2
Direct
0.3750 0.6250 0.7500
0.6250 0.3750 0.2500
0.0000 0.0000 0.0000
0.0000 0.0000 0.5000
0.0000 0.5000 0.0000
0.5000 0.0000 0.5000
0.1250 0.8750 0.2500
0.8750 0.1250 0.7500

=====

SmNiRu, optimized geometry, DFT PBE; DFT total energy = -0.5068 Ry per atom; mass density = 9.95 Mg/m³; total moment = 0.0000 μB per atom; formation enthalpy at 0 K = -0.304 eV/atom; space group = Imma (74)
1.0
-2.5752 2.6212 3.8349
2.5752 -2.6212 3.8349
2.5752 2.6212 -3.8349
Sm Ni Ru
2 2 2
Direct
0.3720 0.1220 0.2500
0.6280 0.8780 0.7500
0.0000 0.5000 0.5000
0.5000 0.5000 0.0000
0.0000 0.0000 0.5000
0.0000 0.5000 0.0000

=====

Dy4ErMg, optimized geometry, DFT PBE; DFT total energy = -0.2992 Ry per atom; mass density = 7.79 Mg/m³; total moment = 0.0000 μB per atom; formation enthalpy at 0 K = 0.024 eV/atom; space group = C2/c (15)
1.0
5.2422 -3.0417 0.0000
5.2422 3.0417 0.0000
-3.4963 0.0000 11.2506
Dy Er Mg
8 2 2
Direct
0.1643 0.6721 0.0003
0.2522 0.4133 0.2497
0.3279 0.8357 0.4997
0.4133 0.2522 0.7497
0.5867 0.7478 0.2503
0.6721 0.1643 0.5003
0.7478 0.5867 0.7503
0.8357 0.3279 0.9997
0.0000 0.5000 0.5000
0.5000 0.0000 0.0000
0.0824 0.9176 0.7500
0.9176 0.0824 0.2500

=====

LaGeAu, optimized geometry, DFT PBE; DFT total energy = -0.3546 Ry per atom; mass density = 8.52 Mg/m³; total moment = 0.0000 μB per atom; formation enthalpy at 0 K = -0.550 eV/atom; space group = P1 (1)
1.0
4.1294 0.0000 0.0000
2.0636 5.7397 0.0000
0.0046 0.1181 6.7209
La Ge Au
2 2 2
Direct
0.0000 0.0000 0.0000
0.2745 0.4511 0.5652
0.2934 0.4121 0.0824
0.7188 0.5613 0.8872
0.5386 0.9246 0.6277
0.6549 0.6904 0.2657

=====

Ce2PbS4, optimized geometry, DFT PBE; DFT total energy = -0.4488 Ry per atom; mass density = 5.43 Mg/m³; total moment = 0.2850 μB per atom; space group = Cmcm (63)
1.0
2.0370 -6.7373 0.0000
2.0370 6.7373 0.0000
0.0000 0.0000 13.7305
Ce Pb S
4 2 8
Direct
0.1322 0.8678 0.5678
0.1322 0.8678 0.9322
0.8678 0.1322 0.0678
0.8678 0.1322 0.4322
0.3888 0.6112 0.7500
0.6112 0.3888 0.2500
0.0369 0.9631 0.7500
0.2322 0.7678 0.1139
0.2322 0.7678 0.3861
0.5000 0.5000 0.0000
0.5000 0.5000 0.5000
0.7678 0.2322 0.6139
0.7678 0.2322 0.8861
0.9631 0.0369 0.2500

=====

NdYPt6, optimized geometry, DFT PBE; DFT total energy = -0.4807 Ry per atom; mass density = 15.21 Mg/m³; total moment = 0.0000 μB per atom; formation enthalpy at 0 K = -0.606 eV/atom; space group = Pm-3 (200)
1.0
5.3517 0.0000 0.0000
0.0000 5.3517 0.0000
0.0000 0.0000 5.3517
Nd Y Pt
1 1 6
Direct
0.0000 0.0000 0.0000
0.5000 0.5000 0.5000
0.0000 0.5000 0.2516
0.0000 0.5000 0.7484
0.2516 0.0000 0.5000
0.5000 0.2516 0.0000
0.5000 0.7484 0.0000
0.7484 0.0000 0.5000

=====

La2DyErTm, optimized geometry, DFT PBE; DFT total energy = -0.3130 Ry per atom; mass density = 7.20 Mg/m³; total moment = 0.0000 μB per atom; formation enthalpy at 0 K = 0.440 eV/atom; space group = Cmcm (63)
1.0
4.2163 -5.7848 0.0000
4.2163 5.7848 0.0000
0.0000 0.0000 7.3458
La Dy Er Tm
4 2 2 2
Direct
0.1948 0.1948 0.0000
0.1948 0.1948 0.5000
0.8052 0.8052 0.0000
0.8052 0.8052 0.5000
0.4810 0.5190 0.7500
0.5190 0.4810 0.2500
0.2178 0.7822 0.7500
0.7822 0.2178 0.2500
0.2417 0.7583 0.2500
0.7583 0.2417 0.7500

=====

Y3Th4Sc2, optimized geometry, DFT PBE; DFT total energy = -0.4934 Ry per atom; mass density = 7.65 Mg/m³; total moment = 0.0000 μB per atom; formation enthalpy at 0 K = 0.146 eV/atom; space group = C2/c (15)
1.0
8.0607 -5.1485 0.0000
8.0607 5.1485 0.0000
-1.4107 0.0000 6.7158
Y Th Sc
6 8 4
Direct
0.0155 0.9845 0.7500
0.3302 0.3397 0.1716
0.3397 0.3302 0.6716
0.6603 0.6698 0.3284
0.6698 0.6603 0.8284
0.9845 0.0155 0.2500
0.0054 0.3351 0.8379
0.3203 0.6791 0.9973
0.3209 0.6797 0.5027
0.3351 0.0054 0.3379
0.6649 0.9946 0.6621
0.6791 0.3203 0.4973
0.6797 0.3209 0.0027
0.9946 0.6649 0.1621
0.0040 0.6422 0.6630
0.3578 0.9960 0.8370
0.6422 0.0040 0.1630
0.9960 0.3578 0.3370

=====

NaPtSeN2, optimized geometry, DFT PBE; DFT total energy = -0.3024 Ry per atom; mass density = 6.57 Mg/m³; total moment = 0.5787 μB per atom; space group = P4/mmm (123)
1.0
4.1471 0.0000 0.0000
0.0000 4.1471 0.0000
0.0000 0.0000 4.7780
Na Pt Se N
1 1 1 2
Direct
0.0000 0.0000 0.0000
0.5000 0.5000 0.0000
0.5000 0.5000 0.5000
0.0000 0.5000 0.5000
0.5000 0.0000 0.5000

=====

AlSiRh2, optimized geometry, DFT PBE; DFT total energy = -0.4988 Ry per atom; mass density = 8.13 Mg/m³; total moment = 0.0000 μB per atom; space group = Cmmm (65)
1.0
2.8798 -3.1904 0.0000
2.8798 3.1904 0.0000
0.0000 0.0000 2.8991
Al Si Rh
1 1 2
Direct
0.0000 0.0000 0.0000
0.5000 0.5000 0.0000
0.0000 0.5000 0.5000
0.5000 0.0000 0.5000